Compound: Ni2RhBr6
Source: Alexandria via LeMat-Bulk
Functional: PBE
Structure: relaxed

Calculated values
Electronic total energy in eV for the cell shown: -31.6
E_form (uncorrected) in kJ per mole of atoms: -28.11
Calculated density in Mg/m³: 4.8

abc: 3.667 7.247 10.035
angles: 110.16 90.00 104.65
Last column: magnetic moment on the atom in μB.
Element x y z (fractional)
Rh  0.000  0.000  0.500  -0.04
Ni  0.680  0.360  0.850  1.21
Ni  0.320  0.640  0.150  1.21
Br  0.309  0.617  0.891  0.18
Br  0.046  0.093  0.768  0.11
Br  0.370  0.741  0.474  0.01
Br  0.629  0.259  0.526  0.01
Br  0.954  0.907  0.232  0.11
Br  0.691  0.383  0.109  0.18